Record 1
Here is a relaxed BaLaPb3 crystal from the Alexandria database. Energies are from PBE-GGA.

Summary:
**DFT total energy**: -3.048 eV per atom
**Offset from the most stable computed form**: 0.5721 eV per atom

Lattice parameters (Å, degrees): 6.0738 6.0738 6.0738 90.00 90.00 90.00
Closest atoms and distances in Å follow each position.
Fractional positions:
Ba  0.0000  0.0000  0.0000  6 Pb 3.04
La  0.5000  0.5000  0.5000  12 Pb 4.29
Pb  0.0000  0.0000  0.5000  2 Ba 3.04
Pb  0.0000  0.5000  0.0000  2 Ba 3.04
Pb  0.5000  0.0000  0.0000  2 Ba 3.04

Record 2
Here is a relaxed HfNb2MoH crystal from the Alexandria database. Energies are from PBE-GGA.

Summary:
**DFT total energy**: -8.827 eV per atom
**Offset from the most stable computed form**: 0.0211 eV per atom

Lattice parameters (Å, degrees): 3.9635 3.9635 4.9001 90.00 90.00 90.00
Closest atoms and distances in Å follow each position.
Fractional positions:
Hf  0.0000  0.0000  0.0000  2 H 2.45
Nb  0.0000  0.5000  0.5000  2 H 1.98
Nb  0.5000  0.0000  0.5000  2 H 1.98
Mo  0.5000  0.5000  0.0000  4 Hf 2.80
H  0.0000  0.0000  0.5000  4 Nb 1.98

Record 3
Here is a relaxed AlTcPb2 crystal from the Alexandria database. Energies are from PBE-GGA.

Summary:
**DFT total energy**: -4.311 eV per atom

Lattice parameters (Å, degrees): 7.5050 7.5050 7.5050 127.80 127.80 76.95
Closest atoms and distances in Å follow each position.
Fractional positions:
Al  0.0000  0.0000  0.0000  4 Pb 2.82
Al  0.7500  0.2500  0.5000  4 Pb 2.82
Tc  0.2500  0.7500  0.5000  4 Pb 2.70
Tc  0.5000  0.5000  0.0000  4 Pb 2.70
Pb  0.1402  0.6250  0.0152  2 Tc 2.70, 2 Al 2.82
Pb  0.3750  0.3902  0.5152  2 Tc 2.70, 2 Al 2.82
Pb  0.6098  0.1250  0.9848  2 Tc 2.70, 2 Al 2.82
Pb  0.8750  0.8598  0.4848  2 Tc 2.70, 2 Al 2.82

Record 4
Here is a relaxed TbTm5Sn3 crystal from the Alexandria database. Energies are from PBE-GGA.

Summary:
**DFT total energy**: -4.538 eV per atom

Lattice parameters (Å, degrees): 10.8287 10.8287 10.8287 139.94 139.94 57.94
Closest atoms and distances in Å follow each position.
Fractional positions:
Tb  0.2500  0.7500  0.5000  4 Tm 3.13
Tb  0.7500  0.2500  0.5000  4 Tm 3.13
Tm  0.0000  0.0000  0.0000  4 Sn 2.91
Tm  0.0713  0.5713  0.8937  1 Sn 3.00, 1 Tb 3.13
Tm  0.1776  0.0713  0.5000  1 Sn 3.00, 1 Tb 3.13
Tm  0.3224  0.8224  0.8937  1 Sn 3.00, 1 Tb 3.13
Tm  0.4287  0.3224  0.5000  1 Sn 3.00, 1 Tb 3.13
Tm  0.5000  0.5000  0.0000  4 Sn 2.91
Tm  0.5713  0.6776  0.5000  1 Sn 3.00, 1 Tb 3.13
Tm  0.6776  0.1776  0.1063  1 Sn 3.00, 1 Tb 3.13
Tm  0.8224  0.9287  0.5000  1 Sn 3.00, 1 Tb 3.13
Tm  0.9287  0.4287  0.1063  1 Sn 3.00, 1 Tb 3.13
Sn  0.1288  0.3712  0.5000  1 Sn 2.70, 4 Tm 2.91-3.00
Sn  0.2500  0.2500  0.0000  8 Tm 3.57, 4 Tb 3.71
Sn  0.3712  0.8712  0.2424  1 Sn 2.70, 4 Tm 2.91-3.00
Sn  0.6288  0.1288  0.7576  1 Sn 2.70, 4 Tm 2.91-3.00
Sn  0.7500  0.7500  0.0000  8 Tm 3.57, 4 Tb 3.71
Sn  0.8712  0.6288  0.5000  1 Sn 2.70, 4 Tm 2.91-3.00

Record 5
Here is a relaxed TlAgI3 crystal from the Alexandria database. Energies are from PBE-GGA.

Summary:
**DFT total energy**: -2.249 eV per atom
**Formation energy without anion corrections**: -0.27 eV per atom

Lattice parameters (Å, degrees): 8.0232 8.0232 7.3504 90.00 90.00 120.00
Closest atoms and distances in Å follow each position.
Fractional positions:
Tl  0.3333  0.6667  0.0000  6 I 3.28
Tl  0.6667  0.3333  0.0000  6 I 3.28
Ag  0.0000  0.0000  0.2205  3 I 2.75
Ag  0.0000  0.0000  0.7795  3 I 2.75
I  0.0000  0.3409  0.7360  1 Ag 2.75
I  0.0000  0.6591  0.2640  1 Ag 2.75
I  0.3409  0.0000  0.7360  1 Ag 2.75
I  0.3409  0.3409  0.2640  1 Ag 2.75
I  0.6591  0.0000  0.2640  1 Ag 2.75
I  0.6591  0.6591  0.7360  1 Ag 2.75

Record 6
Here is a relaxed NbBiSb2 crystal from the Alexandria database. Energies are from PBE-GGA.

Summary:
**DFT total energy**: -5.560 eV per atom
**Formation energy without anion corrections**: -0.01 eV per atom

Lattice parameters (Å, degrees): 3.5700 3.5700 7.6926 90.00 90.00 90.00
Closest atoms and distances in Å follow each position.
Fractional positions:
Nb  0.0000  0.0000  0.0000  8 Sb 2.96
Bi  0.0000  0.0000  0.5000  8 Sb 3.42, 4 Bi 3.57
Sb  0.5000  0.5000  0.2010  4 Nb 2.96, 1 Sb 3.09
Sb  0.5000  0.5000  0.7990  4 Nb 2.96, 1 Sb 3.09

Record 7
Here is a relaxed ZrAl4Si2 crystal from the Alexandria database. Energies are from PBE-GGA.

Summary:
**DFT total energy**: -4.586 eV per atom
**Offset from the most stable computed form**: 0.4661 eV per atom
**Formation energy without anion corrections**: 0.32 eV per atom

Lattice parameters (Å, degrees): 3.8663 3.8663 24.1377 90.00 90.00 120.00
Closest atoms and distances in Å follow each position.
Fractional positions:
Zr  0.0000  0.0000  0.0000  4 Al 2.85-2.92
Zr  0.0000  0.0000  0.5000  4 Al 2.85-2.92
Al  0.0000  0.0000  0.1324  3 Si 2.48, 3 Al 2.65
Al  0.0000  0.0000  0.3789  3 Si 2.57
Al  0.0000  0.0000  0.6324  3 Si 2.48, 3 Al 2.65
Al  0.0000  0.0000  0.8789  3 Si 2.57
Al  0.3333  0.6667  0.0732  1 Si 2.51, 3 Al 2.65
Al  0.3333  0.6667  0.2794  4 Si 2.47-2.50
Al  0.6667  0.3333  0.5732  1 Si 2.51, 3 Al 2.65
Al  0.6667  0.3333  0.7794  4 Si 2.47-2.50
Si  0.3333  0.6667  0.1771  5 Al 2.47-2.51
Si  0.3333  0.6667  0.8261  6 Al 2.50-2.57
Si  0.6667  0.3333  0.3261  6 Al 2.50-2.57
Si  0.6667  0.3333  0.6771  5 Al 2.47-2.51

Record 8
Here is a relaxed Ca4As2H3 crystal from the Alexandria database. Energies are from PBE-GGA.

Summary:
**DFT total energy**: -3.735 eV per atom

Lattice parameters (Å, degrees): 7.5235 7.5235 7.6902 90.00 90.00 127.13
Closest atoms and distances in Å follow each position.
Fractional positions:
Ca  0.2043  0.7957  0.8896  2 H 2.30
Ca  0.2080  0.2920  0.7500  1 H 2.27
Ca  0.2920  0.2080  0.2500  1 H 2.27
Ca  0.2957  0.7043  0.3896  2 H 2.30
Ca  0.7043  0.2957  0.6104  2 H 2.30
Ca  0.7080  0.7920  0.7500  1 H 2.27
Ca  0.7920  0.7080  0.2500  1 H 2.27
Ca  0.7957  0.2043  0.1104  2 H 2.30
As  0.1015  0.8985  0.5581  1 As 2.88, 6 Ca 2.90-3.01
As  0.3985  0.6015  0.0581  1 As 2.88, 6 Ca 2.90-3.01
As  0.6015  0.3985  0.9419  1 As 2.88, 6 Ca 2.90-3.01
As  0.8985  0.1015  0.4419  1 As 2.88, 6 Ca 2.90-3.01
H  0.0000  0.0000  0.0000  6 Ca 2.61-2.88
H  0.0398  0.4602  0.7500  3 Ca 2.27-2.30
H  0.4602  0.0398  0.2500  3 Ca 2.27-2.30
H  0.5000  0.5000  0.5000  6 Ca 2.61-2.88
H  0.5398  0.9602  0.7500  3 Ca 2.27-2.30
H  0.9602  0.5398  0.2500  3 Ca 2.27-2.30

Q: Which formula does entry 1 have?
A: BaLaPb3